No. 1
Material: MnCu4Tc
Method: DFT, PBE
State: optimized geometry

- spin magnetization (Bohr magnetons per cell) = 1.7
- Fermi-level density of states (states/eV per cell) = 5.04
- total energy (eV/atom) = -5.74
- ΔE_f (kJ per mole of atoms) = 23

Unit cell a=4.776 b=4.776 c=4.776 alpha=60.00 beta=60.00 gamma=60.00
Element x y z (fractional)
Mn 0.000 0.000 0.000
Cu 0.125 0.625 0.625
Cu 0.625 0.125 0.625
Cu 0.625 0.625 0.125
Cu 0.625 0.625 0.625
Tc 0.250 0.250 0.250



No. 2
Material: PIO2
Method: DFT, PBE
State: optimized geometry

- spin magnetization (Bohr magnetons per cell) = 0.0
- Fermi-level density of states (states/eV per cell) = 3.37
- total energy (eV/atom) = -3.29
- raw formation energy (kJ/mol of atoms) = 89.2
- offset from the most stable computed form (meV per atom) = 2189.6

Unit cell a=4.238 b=4.238 c=4.238 alpha=60.00 beta=60.00 gamma=60.00
Element x y z (fractional)
P 0.000 0.000 0.000
I 0.500 0.500 0.500
O 0.250 0.250 0.250
O 0.750 0.750 0.750



No. 3
Material: ZrAl2Pb
Method: DFT, PBE
State: optimized geometry

- spin magnetization (Bohr magnetons per cell) = 0.0
- Fermi-level density of states (states/eV per cell) = 1.45
- total energy (eV/atom) = -4.96
- ΔE_f (kJ per mole of atoms) = -3

Unit cell a=3.043 b=4.948 c=5.652 alpha=90.00 beta=90.01 gamma=90.00
Element x y z (fractional)
Zr 0.000 0.000 0.000
Al 0.498 0.500 0.227
Al 0.502 0.500 0.773
Pb 0.500 0.000 0.500



No. 4
Material: SrLiSn2Br6
Method: DFT, PBE
State: optimized geometry

- spin magnetization (Bohr magnetons per cell) = 0.0
- Fermi-level density of states (states/eV per cell) = 4.67
- total energy (eV/atom) = -3.31
- raw formation energy (kJ/mol of atoms) = -110.4

Unit cell a=8.151 b=7.766 c=13.267 alpha=90.00 beta=127.43 gamma=90.00
Element x y z (fractional)
Sr 0.000 0.000 0.000
Sr 0.000 0.500 0.500
Li 0.500 0.000 0.500
Li 0.500 0.500 0.000
Sn 0.360 0.063 0.844
Sn 0.360 0.437 0.344
Sn 0.640 0.563 0.656
Sn 0.640 0.937 0.156
Br 0.137 0.070 0.269
Br 0.137 0.430 0.769
Br 0.306 0.717 0.058
Br 0.306 0.783 0.558
Br 0.363 0.237 0.086
Br 0.363 0.263 0.586
Br 0.637 0.737 0.414
Br 0.637 0.763 0.914
Br 0.694 0.217 0.442
Br 0.694 0.283 0.942
Br 0.863 0.570 0.231
Br 0.863 0.930 0.731



No. 5
Material: Cs4Y3NpSe8
Method: DFT, PBE
State: optimized geometry

- spin magnetization (Bohr magnetons per cell) = 4.0
- Fermi-level density of states (states/eV per cell) = 5.67
- total energy (eV/atom) = -5.58
- raw formation energy (kJ/mol of atoms) = -154.5

Unit cell a=9.727 b=9.727 c=9.727 alpha=52.44 beta=52.44 gamma=52.44
Element x y z (fractional)
Cs 0.000 0.000 0.000
Cs 0.000 0.500 0.500
Cs 0.500 0.000 0.500
Cs 0.500 0.500 0.000
Y 0.000 0.000 0.500
Y 0.000 0.500 0.000
Y 0.500 0.000 0.000
Np 0.500 0.500 0.500
Se 0.225 0.730 0.730
Se 0.229 0.229 0.229
Se 0.270 0.270 0.775
Se 0.270 0.775 0.270
Se 0.730 0.225 0.730
Se 0.730 0.730 0.225
Se 0.771 0.771 0.771
Se 0.775 0.270 0.270



No. 6
Material: TiMnSn2Ru
Method: DFT, PBE
State: optimized geometry

- spin magnetization (Bohr magnetons per cell) = 4.6
- Fermi-level density of states (states/eV per cell) = 4.09
- total energy (eV/atom) = -6.04
- ΔE_f (kJ per mole of atoms) = 80

Unit cell a=5.240 b=5.240 c=4.449 alpha=90.00 beta=90.00 gamma=90.00
Element x y z (fractional)
Ti 0.000 0.000 0.000
Mn 0.500 0.500 0.500
Sn 0.000 0.500 0.000
Sn 0.500 0.000 0.000
Ru 0.000 0.000 0.500



No. 7
Material: IrN2F
Method: DFT, PBE
State: optimized geometry

- spin magnetization (Bohr magnetons per cell) = 0.0
- Fermi-level density of states (states/eV per cell) = 4.44
- total energy (eV/atom) = -6.11
- raw formation energy (kJ/mol of atoms) = 71.0
- offset from the most stable computed form (meV per atom) = 74.2

Unit cell a=5.589 b=5.589 c=5.589 alpha=123.23 beta=123.23 gamma=84.49
Element x y z (fractional)
Ir 0.000 0.000 0.000
Ir 0.750 0.250 0.500
N 0.017 0.625 0.892
N 0.375 0.267 0.392
N 0.733 0.125 0.108
N 0.875 0.983 0.608
F 0.250 0.750 0.500
F 0.500 0.500 0.000



No. 8
Material: KBa9Au3
Method: DFT, PBE
State: optimized geometry

- spin magnetization (Bohr magnetons per cell) = 0.0
- Fermi-level density of states (states/eV per cell) = 23.08
- total energy (eV/atom) = -2.47
- ΔE_f (kJ per mole of atoms) = -29

Unit cell a=8.022 b=12.322 c=14.609 alpha=90.00 beta=99.85 gamma=90.00
Element x y z (fractional)
K 0.043 0.250 0.093
K 0.957 0.750 0.907
Ba 0.146 0.064 0.318
Ba 0.146 0.436 0.318
Ba 0.166 0.750 0.482
Ba 0.269 0.056 0.930
Ba 0.269 0.444 0.930
Ba 0.274 0.750 0.159
Ba 0.355 0.069 0.632
Ba 0.355 0.431 0.632
Ba 0.425 0.750 0.799
Ba 0.575 0.250 0.201
Ba 0.645 0.569 0.368
Ba 0.645 0.931 0.368
Ba 0.726 0.250 0.841
Ba 0.731 0.556 0.070
Ba 0.731 0.944 0.070
Ba 0.834 0.250 0.518
Ba 0.854 0.564 0.682
Ba 0.854 0.936 0.682
Au 0.000 0.000 0.500
Au 0.000 0.500 0.500
Au 0.394 0.010 0.161
Au 0.394 0.490 0.161
Au 0.606 0.510 0.839
Au 0.606 0.990 0.839



No. 9
Material: CsInBi
Method: DFT, PBE
State: optimized geometry

- spin magnetization (Bohr magnetons per cell) = 0.0
- Fermi-level density of states (states/eV per cell) = 1.32
- total energy (eV/atom) = -2.70
- ΔE_f (kJ per mole of atoms) = -20

Unit cell a=5.288 b=5.288 c=6.010 alpha=90.00 beta=90.00 gamma=120.00
Element x y z (fractional)
Cs 0.000 0.000 0.000
In 0.333 0.667 0.500
Bi 0.667 0.333 0.500



No. 10
Material: Li2Ce2PmIn5
Method: DFT, PBE
State: optimized geometry

- spin magnetization (Bohr magnetons per cell) = 4.3
- Fermi-level density of states (states/eV per cell) = 35.26
- total energy (eV/atom) = -3.77
- ΔE_f (kJ per mole of atoms) = -34

Unit cell a=10.526 b=10.526 c=4.483 alpha=90.00 beta=90.00 gamma=90.00
Element x y z (fractional)
Li 0.117 0.383 0.000
Li 0.383 0.883 0.000
Li 0.617 0.117 0.000
Li 0.883 0.617 0.000
Ce 0.178 0.678 0.000
Ce 0.322 0.178 0.000
Ce 0.678 0.822 0.000
Ce 0.822 0.322 0.000
Pm 0.000 0.000 0.000
Pm 0.500 0.500 0.000
In 0.000 0.500 0.500
In 0.070 0.216 0.500
In 0.216 0.930 0.500
In 0.284 0.430 0.500
In 0.430 0.716 0.500
In 0.500 0.000 0.500
In 0.570 0.284 0.500
In 0.716 0.570 0.500
In 0.784 0.070 0.500
In 0.930 0.784 0.500



No. 11
Material: ScGa3Os
Method: DFT, PBE
State: optimized geometry

- spin magnetization (Bohr magnetons per cell) = 0.0
- Fermi-level density of states (states/eV per cell) = 3.94
- total energy (eV/atom) = -5.80
- ΔE_f (kJ per mole of atoms) = -45
- offset from the most stable computed form (meV per atom) = 0.0

Unit cell a=6.279 b=6.279 c=6.279 alpha=90.00 beta=90.00 gamma=90.00
Element x y z (fractional)
Sc 0.000 0.000 0.500
Sc 0.000 0.500 0.000
Sc 0.500 0.000 0.000
Ga 0.000 0.000 0.000
Ga 0.281 0.281 0.281
Ga 0.281 0.281 0.719
Ga 0.281 0.719 0.281
Ga 0.281 0.719 0.719
Ga 0.719 0.281 0.281
Ga 0.719 0.281 0.719
Ga 0.719 0.719 0.281
Ga 0.719 0.719 0.719
Os 0.000 0.500 0.500
Os 0.500 0.000 0.500
Os 0.500 0.500 0.000



No. 12
Material: Er5SnPb4
Method: DFT, PBE
State: optimized geometry

- spin magnetization (Bohr magnetons per cell) = 0.0
- Fermi-level density of states (states/eV per cell) = 8.73
- total energy (eV/atom) = -4.49
- ΔE_f (kJ per mole of atoms) = -31

Unit cell a=7.635 b=7.635 c=7.635 alpha=99.59 beta=99.59 gamma=131.81
Element x y z (fractional)
Er 0.000 0.000 0.000
Er 0.204 0.598 0.806
Er 0.398 0.204 0.606
Er 0.598 0.793 0.394
Er 0.793 0.398 0.194
Sn 0.500 0.500 0.000
Pb 0.095 0.300 0.399
Pb 0.300 0.901 0.205
Pb 0.696 0.095 0.795
Pb 0.901 0.696 0.601